First-principles (PBE) data for a relaxed structure of LaTb2Sm5Th, as listed in the Alexandria database. Values from VASP.

Calculated values
- SG = No. 36
- spin magnetization (μB/f.u.) = 0.00
- uncorrected energy (eV for the cell shown) = -87.51

Quantum ESPRESSO input file:
```
&SYSTEM
  ibrav = 0, nat = 18, ntyp = 4
/
ATOMIC_SPECIES
La 138.91 La.upf
Tb 158.93 Tb.upf
Sm 150.36 Sm.upf
Th 232.04 Th.upf
CELL_PARAMETERS angstrom
5.715 0.000 0.000
-2.858 10.110 0.000
0.000 0.000 10.601
ATOMIC_POSITIONS crystal
La 0.586 0.171 0.946
La 0.414 0.829 0.446
Tb 0.885 0.770 0.819
Tb 0.113 0.227 0.733
Tb 0.115 0.230 0.319
Tb 0.887 0.773 0.233
Sm 0.386 0.773 0.026
Sm 0.723 0.445 0.817
Sm 0.478 0.957 0.738
Sm 0.294 0.587 0.705
Sm 0.984 0.968 0.525
Sm 0.614 0.227 0.526
Sm 0.277 0.555 0.317
Sm 0.522 0.043 0.238
Sm 0.706 0.413 0.205
Sm 0.016 0.032 0.025
Th 0.800 0.600 0.514
Th 0.200 0.400 0.014
```